A relaxed structure of NdWClO4, computed with PBE with a Hubbard U.

abc: 6.527 6.527 7.110
angles: 76.06 76.06 70.99
Fractional coordinates of all 14 atoms:
Nd  0.223  0.223  0.884
Nd  0.777  0.777  0.116
W  0.637  0.637  0.734
W  0.363  0.363  0.266
Cl  0.011  0.011  0.233
Cl  0.989  0.989  0.767
O  0.295  0.295  0.530
O  0.705  0.705  0.470
O  0.115  0.488  0.154
O  0.540  0.540  0.199
O  0.512  0.885  0.846
O  0.488  0.115  0.154
O  0.460  0.460  0.801
O  0.885  0.512  0.846

Summary:
E = -50.8 eV per formula unit
Magnetization = 0.00 μB per cell
Theoretical density = 5.19 Mg/m³
Symmetry = No. 12